! SbTeOs2 PBE relaxed; values from VASP
! Total magnetic moment, μB per formula unit: 0.00
! Relative energy among the computed polymorphs, meV per atom: 0
! E_form (uncorrected), eV per atom: 0.39
! Total DFT energy (no corrections), eV/atom: -7.039
&SYSTEM
  ibrav = 0, nat = 4, ntyp = 3
/
ATOMIC_SPECIES
Os 190.23 Os.upf
Sb 121.76 Sb.upf
Te 127.60 Te.upf
CELL_PARAMETERS angstrom
-0.362 1.346 3.485
-1.334 -2.459 0.812
6.647 -4.550 2.448
ATOMIC_POSITIONS crystal
Os 0.500 0.210 0.204
Os 0.000 0.781 0.065
Sb 0.000 0.607 0.408
Te 0.500 0.903 0.823